DFT (PBE) results for a geometry-optimized Ba3Cu2Pd7 structure.

Unit cell a=5.6829 b=5.6829 c=9.4435 alpha=72.49 beta=72.49 gamma=60.00
Fractional positions:
Ba: 0.0000 0.0000 0.0000
Ba: 0.8605 0.8605 0.4185
Ba: 0.1395 0.1395 0.5815
Pd: 0.5000 0.5000 0.5000
Pd: 0.5773 0.5773 0.7666
Pd: 0.5773 0.0788 0.7666
Pd: 0.4227 0.9212 0.2334
Pd: 0.9212 0.4227 0.2334
Pd: 0.4227 0.4227 0.2334
Pd: 0.0788 0.5773 0.7666
Cu: 0.6671 0.6671 0.9987
Cu: 0.3329 0.3329 0.0013

Properties
energy of formation from the pure elements: -463 meV per atom
E_tot: -4.66 eV per atom
space-group type: R-3m